Material: Ca2MnCd
Method: DFT, PBE-GGA
State: optimized geometry

The structure in POSCAR format:
```
Ca2MnCd
1.0
4.7182 0.0000 0.0000
0.0000 4.7182 0.0000
0.0000 0.0000 9.4802
Ca Mn Cd
4 2 2
Direct
0.0000 0.0000 0.0000
0.0000 0.5000 0.2500
0.5000 0.0000 0.7500
0.5000 0.5000 0.5000
0.0000 0.5000 0.7500
0.5000 0.0000 0.2500
0.0000 0.0000 0.5000
0.5000 0.5000 0.0000
```

Output
- Volume: 211.05 Å³/cell
- DFT formation energy: 0.19 eV per atom
- Space group: No. 119
- Energy: -3.3299 eV/atom
- Crystal system: tetragonal



Material: KNa2Eu
Method: DFT, PBE-GGA
State: optimized geometry

The structure in POSCAR format:
```
KNa2Eu
1.0
6.6374 0.0000 0.0000
0.0000 6.6374 0.0000
0.0000 0.0000 4.2543
K Na Eu
1 2 1
Direct
0.0000 0.0000 0.0000
0.0000 0.5000 0.5000
0.5000 0.0000 0.5000
0.5000 0.5000 0.0000
```

Output
- Volume: 187.43 Å³/cell
- DFT formation energy: 0.10 eV per atom
- Space group: No. 123
- Energy: -3.4024 eV/atom
- Crystal system: tetragonal
- E above lowest polymorph: 0.09 eV per formula unit



Material: CdSn2PbSe4
Method: DFT, PBE-GGA
State: optimized geometry

The structure in POSCAR format:
```
CdSn2PbSe4
1.0
7.3570 0.0000 0.0000
0.0000 4.2643 0.0000
-2.4794 0.0000 6.9604
Cd Sn Pb Se
1 2 1 4
Direct
0.0000 0.0000 0.0000
0.5000 0.0000 0.5000
0.5000 0.5000 0.0000
0.0000 0.5000 0.5000
0.2423 0.5000 0.2367
0.2511 0.0000 0.7602
0.7489 0.0000 0.2398
0.7577 0.5000 0.7633
```

Output
- Volume: 218.37 Å³/cell
- Space group: No. 10
- Energy: -3.7832 eV/atom
- Crystal system: monoclinic



Material: GaAs2H
Method: DFT, PBE-GGA
State: optimized geometry

The structure in POSCAR format:
```
GaAs2H
1.0
5.3462 0.0000 0.0000
0.0000 5.3462 0.0000
0.0000 0.0000 9.8964
Ga As H
4 8 4
Direct
0.0000 0.0000 0.0000
0.0000 0.5000 0.2500
0.5000 0.0000 0.7500
0.5000 0.5000 0.5000
0.1710 0.2500 0.6250
0.2500 0.6710 0.8750
0.2500 0.8290 0.3750
0.3290 0.2500 0.1250
0.6710 0.7500 0.1250
0.7500 0.1710 0.3750
0.7500 0.3290 0.8750
0.8290 0.7500 0.6250
0.0000 0.0000 0.5000
0.0000 0.5000 0.7500
0.5000 0.0000 0.2500
0.5000 0.5000 0.0000
```

Output
- Volume: 282.86 Å³/cell
- Space group: No. 122
- Energy: -3.5610 eV/atom
- Crystal system: tetragonal
- E above lowest polymorph: 1.04 eV per formula unit



Material: ReIO3
Method: DFT, PBE-GGA
State: optimized geometry

The structure in POSCAR format:
```
ReIO3
1.0
3.9922 0.0000 0.0000
0.0000 3.9922 0.0000
0.0000 0.0000 3.9922
Re I O
1 1 3
Direct
0.0000 0.0000 0.0000
0.5000 0.5000 0.5000
0.0000 0.0000 0.5000
0.0000 0.5000 0.0000
0.5000 0.0000 0.0000
```

Output
- Volume: 63.63 Å³/cell
- Space group: No. 221
- Energy: -6.2033 eV/atom
- Crystal system: cubic



Material: Rb3NdSm2O6
Method: DFT, PBE-GGA
State: optimized geometry

The structure in POSCAR format:
```
Rb3NdSm2O6
1.0
3.1460 -5.4492 0.0000
3.1460 5.4492 0.0000
-2.0972 0.0000 6.6019
Rb Nd Sm O
3 1 2 6
Direct
0.0000 0.0000 0.0000
0.3329 0.6671 0.0000
0.6671 0.3329 0.0000
0.5000 0.5000 0.5000
0.1667 0.8333 0.5000
0.8333 0.1667 0.5000
0.1032 0.4401 0.3204
0.2229 0.2229 0.6796
0.4401 0.1032 0.3204
0.5599 0.8968 0.6796
0.7771 0.7771 0.3204
0.8968 0.5599 0.6796
```

Output
- Volume: 226.36 Å³/cell
- Space group: No. 12
- Energy: -6.4932 eV/atom
- Crystal system: monoclinic



Material: NdSm7Y3
Method: DFT, PBE-GGA
State: optimized geometry

The structure in POSCAR format:
```
NdSm7Y3
1.0
6.5874 0.0000 0.0000
-0.6700 6.7195 0.0000
-1.3639 -1.6166 8.4913
Nd Sm Y
1 7 3
Direct
0.0000 0.0000 0.0000
0.0000 0.5000 0.0000
0.0551 0.2093 0.6416
0.2196 0.7223 0.7109
0.4840 0.2383 0.9151
0.5160 0.7617 0.0849
0.7804 0.2777 0.2891
0.9449 0.7907 0.3584
0.3101 0.4324 0.3365
0.5000 0.0000 0.5000
0.6899 0.5676 0.6635
```

Output
- Volume: 375.86 Å³/cell
- DFT formation energy: 0.13 eV per atom
- Space group: No. 2
- Energy: -5.0744 eV/atom
- Crystal system: triclinic
- E above lowest polymorph: 0.00 eV per formula unit



Material: Cr2NiBr
Method: DFT, PBE-GGA
State: optimized geometry

The structure in POSCAR format:
```
Cr2NiBr
1.0
3.2093 0.0000 0.0000
0.0000 4.2938 0.0000
0.0000 0.0000 4.3438
Cr Ni Br
2 1 1
Direct
0.0000 0.0000 0.0000
0.5000 0.5000 0.0000
0.0000 0.5000 0.5000
0.5000 0.0000 0.5000
```

Output
- Volume: 59.86 Å³/cell
- Space group: No. 47
- Energy: -6.0209 eV/atom
- Crystal system: orthorhombic
- E above lowest polymorph: 1.16 eV per formula unit



Material: PmCuSi2S6
Method: DFT, PBE-GGA
State: optimized geometry

The structure in POSCAR format:
```
PmCuSi2S6
1.0
6.3351 -5.7853 0.0000
6.3351 5.7853 0.0000
-2.4246 0.0000 6.1190
Pm Cu Si S
2 2 4 12
Direct
0.1469 0.8531 0.7500
0.8531 0.1469 0.2500
0.2093 0.7907 0.2500
0.7907 0.2093 0.7500
0.2281 0.3741 0.7901
0.3741 0.2281 0.2901
0.6259 0.7719 0.7099
0.7719 0.6259 0.2099
0.0531 0.1844 0.6706
0.1259 0.6009 0.9228
0.1844 0.0531 0.1706
0.3012 0.4312 0.5264
0.3991 0.8741 0.5772
0.4312 0.3012 0.0264
0.5688 0.6988 0.9736
0.6009 0.1259 0.4228
0.6988 0.5688 0.4736
0.8156 0.9469 0.8294
0.8741 0.3991 0.0772
0.9469 0.8156 0.3294
```

Output
- Volume: 448.53 Å³/cell
- Space group: No. 15
- Energy: -5.3022 eV/atom
- Crystal system: monoclinic



Material: ZnCoNi5
Method: DFT, PBE-GGA
State: optimized geometry

The structure in POSCAR format:
```
ZnCoNi5
1.0
5.0018 0.0000 0.0000
0.0000 6.9192 0.0000
0.0000 0.0000 4.9337
Zn Co Ni
2 2 10
Direct
0.0000 0.0000 0.0000
0.5000 0.5000 0.0000
0.0000 0.5000 0.5000
0.5000 0.0000 0.5000
0.0000 0.5000 0.0000
0.2500 0.2500 0.2586
0.2500 0.2500 0.7414
0.2500 0.7500 0.2586
0.2500 0.7500 0.7414
0.5000 0.0000 0.0000
0.7500 0.2500 0.2586
0.7500 0.2500 0.7414
0.7500 0.7500 0.2586
0.7500 0.7500 0.7414
```

Output
- Volume: 170.75 Å³/cell
- DFT formation energy: 0.12 eV per atom
- Space group: No. 65
- Energy: -5.2038 eV/atom
- Crystal system: orthorhombic



Material: NdAu2I6
Method: DFT, PBE-GGA
State: optimized geometry

The structure in POSCAR format:
```
NdAu2I6
1.0
7.4357 -7.6047 0.0000
7.4357 7.6047 0.0000
-3.6277 0.0000 7.6940
Nd Au I
2 4 12
Direct
0.0864 0.9136 0.7500
0.9136 0.0864 0.2500
0.2588 0.2933 0.6965
0.2933 0.2588 0.1965
0.7067 0.7412 0.8035
0.7412 0.7067 0.3035
0.0152 0.2011 0.6721
0.0413 0.6459 0.7712
0.2011 0.0152 0.1721
0.3500 0.4334 0.0625
0.3541 0.9587 0.7288
0.4334 0.3500 0.5625
0.5666 0.6500 0.4375
0.6459 0.0413 0.2712
0.6500 0.5666 0.9375
0.7989 0.9848 0.8279
0.9587 0.3541 0.2288
0.9848 0.7989 0.3279
```

Output
- Volume: 870.13 Å³/cell
- Space group: No. 15
- Energy: -2.8599 eV/atom
- Crystal system: monoclinic



Material: FeBRh3
Method: DFT, PBE-GGA
State: optimized geometry

The structure in POSCAR format:
```
FeBRh3
1.0
3.8110 0.0000 0.0000
0.0000 5.4943 0.0000
-1.8805 0.0000 6.0317
Fe B Rh
2 2 6
Direct
0.1105 0.0000 0.2252
0.8895 0.5000 0.7748
0.3142 0.0984 0.6286
0.6858 0.5984 0.3714
0.1011 0.4719 0.2053
0.2888 0.7174 0.5710
0.4807 0.2585 0.9605
0.5193 0.7585 0.0395
0.7112 0.2174 0.4290
0.8989 0.9719 0.7947
```

Output
- Volume: 126.29 Å³/cell
- DFT formation energy: -0.04 eV per atom
- Space group: No. 4
- Energy: -7.4836 eV/atom
- Crystal system: monoclinic
- E above lowest polymorph: 0.13 eV per formula unit



Material: Np2Co3H12Ru
Method: DFT, PBE-GGA
State: optimized geometry

The structure in POSCAR format:
```
Np2Co3H12Ru
1.0
2.8574 1.6497 4.8029
-2.8574 1.6497 4.8029
0.0000 -3.2995 4.8029
Np Co H Ru
2 3 12 1
Direct
0.1128 0.1128 0.1128
0.8872 0.8872 0.8872
0.0000 0.5000 0.5000
0.5000 0.0000 0.5000
0.5000 0.5000 0.0000
0.1256 0.6074 0.6074
0.1681 0.1681 0.6343
0.1681 0.6343 0.1681
0.3657 0.8319 0.8319
0.3926 0.3926 0.8744
0.3926 0.8744 0.3926
0.6074 0.1256 0.6074
0.6074 0.6074 0.1256
0.6343 0.1681 0.1681
0.8319 0.3657 0.8319
0.8319 0.8319 0.3657
0.8744 0.3926 0.3926
0.5000 0.5000 0.5000
```

Output
- Volume: 135.84 Å³/cell
- Space group: No. 166
- Energy: -5.4317 eV/atom
- Crystal system: trigonal



Material: K2Cd2Cl
Method: DFT, PBE-GGA
State: optimized geometry

The structure in POSCAR format:
```
K2Cd2Cl
1.0
4.0934 0.0000 0.0000
0.0000 4.0934 0.0000
0.0000 0.0000 19.9485
K Cd Cl
4 4 2
Direct
0.0000 0.0000 0.0912
0.0000 0.0000 0.9088
0.5000 0.5000 0.4088
0.5000 0.5000 0.5912
0.0000 0.5000 0.2500
0.0000 0.5000 0.7500
0.5000 0.0000 0.2500
0.5000 0.0000 0.7500
0.0000 0.0000 0.5000
0.5000 0.5000 0.0000
```

Output
- Volume: 334.25 Å³/cell
- Space group: No. 139
- Energy: -1.9142 eV/atom
- Crystal system: tetragonal
- E above lowest polymorph: 0.00 eV per formula unit



Material: YMnSe2Br
Method: DFT, PBE-GGA
State: optimized geometry

The structure in POSCAR format:
```
YMnSe2Br
1.0
5.5021 0.0000 0.0000
0.0000 5.5021 0.0000
0.0000 0.0000 5.4161
Y Mn Se Br
1 1 2 1
Direct
0.0000 0.0000 0.0000
0.5000 0.5000 0.5000
0.0000 0.5000 0.0000
0.5000 0.0000 0.0000
0.0000 0.0000 0.5000
```

Output
- Volume: 163.96 Å³/cell
- Space group: No. 123
- Energy: -5.2766 eV/atom
- Crystal system: tetragonal
- E above lowest polymorph: 1.03 eV per formula unit



Material: ZrTePtN2
Method: DFT, PBE-GGA
State: optimized geometry

The structure in POSCAR format:
```
ZrTePtN2
1.0
4.0623 0.0000 0.0000
0.0000 4.0623 0.0000
0.0000 0.0000 6.3243
Zr Te Pt N
1 1 1 2
Direct
0.0000 0.0000 0.0000
0.0000 0.0000 0.5000
0.5000 0.5000 0.5000
0.0000 0.5000 0.0000
0.5000 0.0000 0.0000
```

Output
- Volume: 104.37 Å³/cell
- Space group: No. 123
- Energy: -6.2205 eV/atom
- Crystal system: tetragonal
- E above lowest polymorph: 0.00 eV per formula unit



Material: Li3Ge4Ir2
Method: DFT, PBE-GGA
State: optimized geometry

The structure in POSCAR format:
```
Li3Ge4Ir2
1.0
5.1774 -2.0705 0.0000
5.1774 2.0705 0.0000
-2.1827 0.0000 7.5368
Li Ge Ir
3 4 2
Direct
0.0000 0.0000 0.0000
0.3841 0.3841 0.3055
0.6159 0.6159 0.6945
0.0851 0.0851 0.4044
0.2855 0.2855 0.9281
0.7145 0.7145 0.0719
0.9149 0.9149 0.5956
0.3080 0.3080 0.6350
0.6920 0.6920 0.3650
```

Output
- Volume: 161.58 Å³/cell
- DFT formation energy: -0.31 eV per atom
- Space group: No. 12
- Energy: -4.9713 eV/atom
- Crystal system: monoclinic



Material: PmSm5Te5
Method: DFT, PBE-GGA
State: optimized geometry

The structure in POSCAR format:
```
PmSm5Te5
1.0
6.9336 -3.1181 0.0000
6.9336 3.1181 0.0000
-2.7647 0.0000 8.3043
Pm Sm Te
1 5 5
Direct
0.0000 0.0000 0.0000
0.0000 0.0000 0.5000
0.3373 0.3373 0.6609
0.3386 0.3386 0.1800
0.6614 0.6614 0.8200
0.6627 0.6627 0.3391
0.1660 0.1660 0.3347
0.1739 0.1739 0.8372
0.5000 0.5000 0.0000
0.8261 0.8261 0.1628
0.8340 0.8340 0.6653
```

Output
- Volume: 359.07 Å³/cell
- Space group: No. 12
- Energy: -5.2000 eV/atom
- Crystal system: monoclinic



Material: Ac2CdGa7
Method: DFT, PBE-GGA
State: optimized geometry

The structure in POSCAR format:
```
Ac2CdGa7
1.0
4.5899 0.0000 0.0000
0.0000 4.5899 0.0000
0.0000 0.0000 10.6988
Ac Cd Ga
2 1 7
Direct
0.0000 0.5000 0.2446
0.5000 0.0000 0.7554
0.0000 0.0000 0.5000
0.0000 0.0000 0.0000
0.0000 0.5000 0.6376
0.0000 0.5000 0.8755
0.5000 0.0000 0.1245
0.5000 0.0000 0.3624
0.5000 0.5000 0.0000
0.5000 0.5000 0.5000
```

Output
- Volume: 225.40 Å³/cell
- DFT formation energy: -0.46 eV per atom
- Space group: No. 115
- Energy: -3.4913 eV/atom
- Crystal system: tetragonal



Material: ScOs2Au
Method: DFT, PBE-GGA
State: optimized geometry

The structure in POSCAR format:
```
ScOs2Au
1.0
2.9212 0.0000 0.0000
0.0000 4.7728 0.0000
-0.1692 0.0000 4.8121
Sc Os Au
1 2 1
Direct
0.0000 0.0000 0.0000
0.3387 0.5000 0.7580
0.6613 0.5000 0.2420
0.5000 0.0000 0.5000
```

Output
- Volume: 67.09 Å³/cell
- DFT formation energy: 0.15 eV per atom
- Space group: No. 10
- Energy: -7.8644 eV/atom
- Crystal system: monoclinic
- E above lowest polymorph: 1.00 eV per formula unit



Material: HAu
Method: DFT, PBE-GGA
State: optimized geometry

The structure in POSCAR format:
```
HAu
1.0
2.8935 0.0000 0.0000
-1.4467 2.5058 0.0000
0.0000 0.0000 3.4996
H Au
1 1
Direct
0.0000 0.0000 0.0000
0.0000 0.0000 0.5000
```

Output
- Volume: 25.38 Å³/cell
- Space group: No. 191
- Energy: -3.0779 eV/atom
- Crystal system: hexagonal



Material: CrPt2
Method: DFT, PBE-GGA
State: optimized geometry

The structure in POSCAR format:
```
CrPt2
1.0
5.9306 0.0000 0.0000
0.0000 5.9306 0.0000
0.0000 0.0000 5.9306
Cr Pt
4 8
Direct
0.0000 0.0000 0.0000
0.0000 0.5000 0.5000
0.5000 0.0000 0.5000
0.5000 0.5000 0.0000
0.1252 0.6252 0.8748
0.1252 0.8748 0.3748
0.3748 0.1252 0.8748
0.3748 0.3748 0.3748
0.6252 0.6252 0.6252
0.6252 0.8748 0.1252
0.8748 0.1252 0.6252
0.8748 0.3748 0.1252
```

Output
- Volume: 208.59 Å³/cell
- DFT formation energy: 0.40 eV per atom
- Space group: No. 205
- Energy: -6.8359 eV/atom
- Crystal system: cubic



Material: Ba2CaAg2
Method: DFT, PBE-GGA
State: optimized geometry

The structure in POSCAR format:
```
Ba2CaAg2
1.0
5.3355 0.0000 0.0000
0.0000 5.3355 0.0000
0.0000 0.0000 13.8938
Ba Ca Ag
4 2 4
Direct
0.0000 0.5000 0.2500
0.0000 0.5000 0.7500
0.5000 0.0000 0.2500
0.5000 0.0000 0.7500
0.0000 0.0000 0.0000
0.5000 0.5000 0.5000
0.0000 0.0000 0.4022
0.0000 0.0000 0.5978
0.5000 0.5000 0.0978
0.5000 0.5000 0.9022
```

Output
- Volume: 395.52 Å³/cell
- DFT formation energy: 0.00 eV per atom
- Space group: No. 139
- Energy: -2.3093 eV/atom
- Crystal system: tetragonal
- E above lowest polymorph: 1.20 eV per formula unit



Material: Cs2SnHg
Method: DFT, PBE-GGA
State: optimized geometry

The structure in POSCAR format:
```
Cs2SnHg
1.0
5.1324 0.0000 0.0000
-0.0545 6.8322 0.0000
-2.5348 -3.4170 5.5349
Cs Sn Hg
2 1 1
Direct
0.0000 0.0000 0.0000
0.1844 0.6850 0.3696
0.3967 0.3963 0.7918
0.7972 0.2969 0.5926
```

Output
- Volume: 194.08 Å³/cell
- DFT formation energy: -0.21 eV per atom
- Space group: No. 1
- Energy: -1.7109 eV/atom
- Crystal system: triclinic
- E above lowest polymorph: 0.25 eV per formula unit